Entry 1:
The following is a PBE calculation of crystalline CsNa2Te3 at its relaxed geometry, from Alexandria.

formation energy from raw total energies = -657 meV per atom

abc: 12.218 8.417 9.352
angles: 90.00 90.00 90.00
Space group Cmcm (No. 63)
One atom of each set of equivalent atoms:
Cs 0.000 0.118 0.250 [4 per cell]
Na 0.194 0.500 0.000 [8 per cell]
Te 0.000 0.396 0.750 [4 per cell]
Te 0.210 0.215 0.750 [8 per cell]

Entry 2:
The following is a PBE calculation of crystalline CsNa2Te6 at its relaxed geometry, from Alexandria.

formation energy from raw total energies = -448 meV per atom

abc: 16.357 9.351 4.875
angles: 90.00 91.06 90.00
Space group C2/m (No. 12)
One atom of each set of equivalent atoms:
Cs 0.000 0.000 0.000 [2 per cell]
Na 0.191 0.500 0.126 [4 per cell]
Te 0.000 0.342 0.500 [4 per cell]
Te 0.172 0.266 0.635 [8 per cell]

Entry 3:
The following is a PBE calculation of crystalline CsNaTe2 at its relaxed geometry, from Alexandria.

polymorph energy (0 for the lowest one) = 0.4858 eV per atom
formation energy from raw total energies = -278 meV per atom

abc: 4.0238 4.0238 35.3960
angles: 90.00 90.00 120.00
Space group R-3m (No. 166, hexagonal axes)
One atom of each set of equivalent atoms:
Cs 0.0000 0.0000 0.0000 [3 per cell]
Na 0.0000 0.0000 0.5000 [3 per cell]
Te 0.0000 0.0000 0.4180 [6 per cell]